1.
DFT (PBE) results for a relaxed LaYIn3 crystal.

Results
formation energy from the elements	-46.71	kJ/mol of atoms
E above lowest polymorph	0	meV per atom

Unit cell a=3.8106 b=29.7533 c=4.9493 alpha=90.00 beta=90.00 gamma=90.00
Space group Cmcm (No. 63)
Unique sites:
La (0.0000, 0.0748, 0.2500) x4
Y (0.0000, 0.2123, 0.7500) x4
In (0.0000, 0.3193, 0.7500) x4
In (0.0000, 0.3768, 0.2500) x4
In (0.0000, 0.4751, 0.2500) x4

***

2.
DFT (PBE) results for a relaxed La3Y4In4 crystal.

Results
formation energy from the elements	-31.31	kJ/mol of atoms

Unit cell a=5.2615 b=7.5720 c=17.4382 alpha=90.00 beta=90.00 gamma=90.00
Space group Immm (No. 71)
Unique sites:
La (0.0000, 0.0000, 0.0000) x2
La (0.0000, 0.5000, 0.1085) x4
Y (0.0000, 0.2765, 0.3237) x8
In (0.0000, 0.0000, 0.1896) x4
In (0.0000, 0.1984, 0.5000) x4

***

3.
DFT (PBE) results for a relaxed LaY3In crystal.

Results
formation energy from the elements	-10.15	kJ/mol of atoms
E above lowest polymorph	0	meV per atom

Unit cell a=5.6326 b=18.2806 c=5.9413 alpha=90.00 beta=90.00 gamma=90.00
Space group Cmc2_1 (No. 36)
Unique sites:
La (0.0000, 0.1369, 0.0000) x4
Y (0.0000, 0.0559, 0.4734) x4
Y (0.0000, 0.2514, 0.4159) x4
Y (0.0000, 0.4527, 0.3508) x4
In (0.0000, 0.3486, 0.8880) x4

***

4.
DFT (PBE) results for a relaxed LaYIn crystal.

Results
formation energy from the elements	-29.71	kJ/mol of atoms
E above lowest polymorph	60	meV per atom

Unit cell a=3.6372 b=3.6372 c=14.1848 alpha=90.00 beta=90.00 gamma=90.00
Space group I4mm (No. 107)
Unique sites:
La (0.0000, 0.0000, 0.0000) x2
Y (0.0000, 0.0000, 0.3036) x2
In (0.0000, 0.0000, 0.6620) x2

***

5.
DFT (PBE) results for a relaxed LaY2In crystal.

Results
formation energy from the elements	-21.80	kJ/mol of atoms

Unit cell a=4.8227 b=4.9353 c=11.2952 alpha=90.00 beta=102.25 gamma=90.00
Space group P2_1/m (No. 11)
Unique sites:
La (0.1905, 0.2500, 0.3853) x2
Y (0.0564, 0.7500, 0.1151) x2
Y (0.4371, 0.7500, 0.8722) x2
In (0.3436, 0.2500, 0.6827) x2

***

6.
DFT (PBE) results for a relaxed LaY2In crystal.

Results
formation energy from the elements	-21.97	kJ/mol of atoms

Unit cell a=12.9379 b=3.9487 c=5.3884 alpha=90.00 beta=114.57 gamma=90.00
Space group Cm (No. 8)
Unique sites:
La (0.0000, 0.0000, 0.0000) x2
Y (0.2193, 0.0000, 0.7186) x2
Y (0.4434, 0.0000, 0.4435) x2
In (0.2318, 0.5000, 0.2308) x2

***

7.
DFT (PBE) results for a relaxed LaY4In crystal.

Results
formation energy from the elements	17.25	kJ/mol of atoms
E above lowest polymorph	275	meV per atom

Unit cell a=9.2284 b=9.2284 c=9.2284 alpha=90.00 beta=90.00 gamma=90.00
Space group F-43m (No. 216)
Unique sites:
La (0.0000, 0.0000, 0.0000) x4
Y (0.1249, 0.1249, 0.6249) x16
In (0.2500, 0.2500, 0.2500) x4

***

8.
DFT (PBE) results for a relaxed La2YIn crystal.

Results
formation energy from the elements	-27.32	kJ/mol of atoms

Unit cell a=4.9139 b=4.9139 c=5.1739 alpha=90.00 beta=90.00 gamma=90.00
Space group P4/mmm (No. 123)
Unique sites:
La (0.0000, 0.5000, 0.0000) x2
Y (0.0000, 0.0000, 0.5000) x1
In (0.5000, 0.5000, 0.5000) x1

***

9.
DFT (PBE) results for a relaxed La2YIn crystal.

Results
formation energy from the elements	-23.40	kJ/mol of atoms

Unit cell a=3.7032 b=3.7032 c=9.3986 alpha=90.00 beta=90.00 gamma=90.00
Space group P4mm (No. 99)
Unique sites:
La (0.0000, 0.0000, 0.0000) x1
La (0.5000, 0.5000, 0.2873) x1
Y (0.0000, 0.0000, 0.5569) x1
In (0.5000, 0.5000, 0.7639) x1

***

10.
DFT (PBE) results for a relaxed LaY3In2 crystal.

Results
formation energy from the elements	-36.60	kJ/mol of atoms

Unit cell a=5.2924 b=9.9722 c=6.7720 alpha=90.00 beta=90.00 gamma=90.00
Space group Pmc2_1 (No. 26)
Unique sites:
La (0.0000, 0.0372, 0.0000) x2
Y (0.0000, 0.3240, 0.6472) x2
Y (0.5000, 0.1870, 0.2757) x2
Y (0.5000, 0.4589, 0.9299) x2
In (0.0000, 0.3604, 0.1755) x2
In (0.5000, 0.1492, 0.7441) x2

***

11.
DFT (PBE) results for a relaxed La2YIn2 crystal.

Results
formation energy from the elements	-21.17	kJ/mol of atoms
E above lowest polymorph	193	meV per atom

Unit cell a=9.3803 b=9.3803 c=3.5668 alpha=90.00 beta=90.00 gamma=90.00
Space group P4/mbm (No. 127)
Unique sites:
La (0.1164, 0.3836, 0.0000) x4
Y (0.0000, 0.0000, 0.0000) x2
In (0.1793, 0.6793, 0.5000) x4

***

12.
DFT (PBE) results for a relaxed LaY2In crystal.

Results
formation energy from the elements	-24.34	kJ/mol of atoms

Unit cell a=3.9177 b=5.5897 c=11.5780 alpha=90.00 beta=90.00 gamma=90.00
Space group Immm (No. 71)
Unique sites:
La (0.0000, 0.0000, 0.0000) x2
Y (0.0000, 0.5000, 0.2195) x4
In (0.0000, 0.0000, 0.5000) x2

***

no.,E (eV per atom)
1,-4.4054
2,-5.0148
3,-5.5168
4,-5.0180
5,-5.3745
6,-5.3762
7,-5.4083
8,-5.0475
9,-5.0068
10,-5.3454
11,-4.5786
12,-5.4008